1.
The following is a DFT calculation (PBE-GGA) of SrAu2 after structural relaxation.

The structure belongs to space group C2/m (No. 12); the cell edges are 9.6697, 7.6226 and 4.7617 Å and the angles 90.00°, 119.28° and 90.00°. The asymmetric unit holds Sr at (0.2161, 0.0000, 0.4667) and Au at (0.0875, 0.2880, 0.8368).

The calculation puts the formation enthalpy at 0 K at -0.74 eV/atom.


2.
The following is a DFT calculation (PBE-GGA) of SrAu2 after structural relaxation.

The structure belongs to space group Fm-3m (No. 225); the cell edges are 7.2555, 7.2555 and 7.2555 Å and the angles 90.00°, 90.00° and 90.00°. The asymmetric unit holds Sr at (0.0000, 0.0000, 0.0000) and Au at (0.2500, 0.2500, 0.2500).

The calculation puts the formation enthalpy at 0 K at -0.41 eV/atom.